The following is a PBE-GGA calculation of a geometry-optimized PuZrIr structure, from the Alexandria database.

Summary:
The energy above the lowest structure with this stoichiometry comes out at 0.000 eV/atom. The calculation puts the formation energy at -0.9 eV per formula unit. The magnetic moment is 5.04 μB per formula unit.

Cell lengths 3.4679, 3.4679, 10.1752 Å; angles 90.00, 90.00, 90.00 degrees
Fractional positions:
Pu: 0.0000 0.0000 0.0000
Pu: 0.5000 0.5000 0.5000
Zr: 0.0000 0.0000 0.6932
Zr: 0.5000 0.5000 0.1932
Ir: 0.0000 0.0000 0.3498
Ir: 0.5000 0.5000 0.8498